Record 1
A plane-wave DFT calculation with PBE-GGA was carried out for a relaxed ZnBH crystal.

Unit cell a=4.7904 b=3.4937 c=27.8425 alpha=133.15 beta=166.32 gamma=39.94
With the nearest neighbours (Å) after each atom.
Sites, in units of the cell vectors:
1 H 0.5429 0.8711 0.9320  2 B 1.31-1.32
2 Zn 0.0327 0.6542 0.3879  1 B 2.16
3 B 0.0673 0.7243 0.0514  2 H 1.31-1.32
4 Zn 0.9673 0.3458 0.6121  1 B 2.16
5 B 0.9327 0.2757 0.9486  2 H 1.31-1.32
6 H 0.4571 0.1289 0.0680  2 B 1.31-1.32

Properties
As for the symmetry: P-1. The mass density comes out at 4.0 g/cm3. The value obtained for the final energy is -20.6 eV per cell.

Record 2
A plane-wave DFT calculation with PBE-GGA was carried out for a relaxed NpUPd6 crystal.

Unit cell a=4.1511 b=4.1511 c=8.3009 alpha=90.00 beta=90.00 gamma=90.00
With the nearest neighbours (Å) after each atom.
Sites, in units of the cell vectors:
1 Pd 0.5000 0.0000 0.7466  2 U 2.92, 8 Pd 2.92-2.95, 2 Np 2.95
2 Np 0.0000 0.0000 0.0000  12 Pd 2.94-2.95
3 Pd 0.5000 0.0000 0.2534  8 Pd 2.92-2.95, 2 U 2.92, 2 Np 2.95
4 U 0.0000 0.0000 0.5000  12 Pd 2.92-2.94
5 Pd 0.0000 0.5000 0.2534  2 U 2.92, 8 Pd 2.92-2.95, 2 Np 2.95
6 Pd 0.5000 0.5000 0.0000  4 Np 2.94, 8 Pd 2.95
7 Pd 0.0000 0.5000 0.7466  8 Pd 2.92-2.95, 2 U 2.92, 2 Np 2.95
8 Pd 0.5000 0.5000 0.5000  8 Pd 2.92, 4 U 2.94

Properties
As for the symmetry: P4/mmm. The mass density comes out at 12.9 g/cm3. The value obtained for the final energy is -59.2 eV per cell.

Record 3
A plane-wave DFT calculation with PBE-GGA was carried out for a relaxed CsHgSb2Pb4 crystal.

Unit cell a=5.2720 b=5.2720 c=10.5398 alpha=90.00 beta=90.00 gamma=90.00
With the nearest neighbours (Å) after each atom.
Sites, in units of the cell vectors:
1 Pb 0.5000 0.0000 0.8309  2 Hg 3.18, 2 Sb 3.20
2 Pb 0.5000 0.0000 0.1691  2 Hg 3.18, 2 Sb 3.20
3 Cs 0.0000 0.0000 0.5000  8 Sb 4.09, 8 Pb 4.37
4 Pb 0.0000 0.5000 0.1691  2 Hg 3.18, 2 Sb 3.20
5 Pb 0.0000 0.5000 0.8309  2 Hg 3.18, 2 Sb 3.20
6 Sb 0.5000 0.5000 0.3413  4 Pb 3.20, 1 Sb 3.35
7 Sb 0.5000 0.5000 0.6587  4 Pb 3.20, 1 Sb 3.35
8 Hg 0.0000 0.0000 0.0000  8 Pb 3.18

Properties
As for the symmetry: P4/mmm. For the formation energy (no corrections), the calculation gives -0.89 eV/f.u. The mass density comes out at 8.0 g/cm3. The value obtained for the final energy is -25.1 eV per cell.

Record 4
A plane-wave DFT calculation with PBE-GGA was carried out for a relaxed Tb5Os2 crystal.

Unit cell a=6.4147 b=7.3580 c=8.4877 alpha=96.84 beta=112.20 gamma=90.00
With the nearest neighbours (Å) after each atom.
Sites, in units of the cell vectors:
1 Os 0.6037 0.9226 0.7802  7 Tb 2.78-3.04
2 Os 0.1765 0.4226 0.7802  7 Tb 2.78-3.04
3 Tb 0.5771 0.2500 0.0000  4 Os 2.91-2.94
4 Os 0.8235 0.5774 0.2198  7 Tb 2.78-3.04
5 Os 0.3963 0.0774 0.2198  7 Tb 2.78-3.04
6 Tb 0.0230 0.0838 0.8170  2 Os 2.78-2.83
7 Tb 0.6414 0.8167 0.4353  3 Os 2.86-3.04
8 Tb 0.7940 0.5838 0.8170  2 Os 2.78-2.83
9 Tb 0.4229 0.7500 0.0000  4 Os 2.91-2.94
10 Tb 0.9770 0.9162 0.1830  2 Os 2.78-2.83
11 Tb 0.7939 0.3167 0.4353  3 Os 2.86-3.04
12 Tb 0.2061 0.6833 0.5647  3 Os 2.86-3.04
13 Tb 0.2060 0.4162 0.1830  2 Os 2.78-2.83
14 Tb 0.3586 0.1833 0.5647  3 Os 2.86-3.04

Properties
As for the symmetry: C2/c. The mass density comes out at 10.6 g/cm3. The value obtained for the final energy is -94.8 eV per cell.

Record 5
A plane-wave DFT calculation with PBE-GGA was carried out for a relaxed RbSrP2S crystal.

Unit cell a=5.7569 b=5.7569 c=5.6643 alpha=90.00 beta=90.00 gamma=90.00
With the nearest neighbours (Å) after each atom.
Sites, in units of the cell vectors:
1 Sr 0.0000 0.0000 0.0000  2 S 2.83, 4 P 2.88
2 P 0.5000 0.0000 0.0000  2 Sr 2.88
3 Rb 0.5000 0.5000 0.5000  8 P 4.04, 4 S 4.07
4 S 0.0000 0.0000 0.5000  2 Sr 2.83
5 P 0.0000 0.5000 0.0000  2 Sr 2.88

Properties
As for the symmetry: P4/mmm. For the formation energy (no corrections), the calculation gives 1.43 eV/f.u. Its energy above the lowest structure with this stoichiometry is 0 meV per atom. The mass density comes out at 2.4 g/cm3. The value obtained for the final energy is -16.2 eV per cell.

Record 6
A plane-wave DFT calculation with PBE-GGA was carried out for a relaxed RbRe2Br crystal.

Unit cell a=4.7553 b=4.7553 c=4.7553 alpha=60.00 beta=60.00 gamma=60.00
With the nearest neighbours (Å) after each atom.
Sites, in units of the cell vectors:
1 Re 0.2500 0.2500 0.2500  4 Br 2.91, 4 Rb 2.91
2 Br 0.0000 0.0000 0.0000  8 Re 2.91
3 Re 0.7500 0.7500 0.7500  4 Br 2.91, 4 Rb 2.91
4 Rb 0.5000 0.5000 0.5000  8 Re 2.91

Properties
As for the symmetry: Fm-3m. For the formation energy (no corrections), the calculation gives 11.19 eV/f.u. Its energy above the lowest structure with this stoichiometry is 1265 meV per atom. The mass density comes out at 11.7 g/cm3. The value obtained for the final energy is -16.3 eV per cell.

Record 7
A plane-wave DFT calculation with PBE-GGA was carried out for a relaxed LiNdSnPt crystal.

Unit cell a=4.8587 b=4.8587 c=4.8587 alpha=60.00 beta=60.00 gamma=60.00
With the nearest neighbours (Å) after each atom.
Sites, in units of the cell vectors:
1 Nd 0.2500 0.2500 0.2500  4 Pt 2.98, 4 Li 2.98
2 Sn 0.7500 0.7500 0.7500  4 Pt 2.98, 4 Li 2.98
3 Pt 0.5000 0.5000 0.5000  4 Sn 2.98, 4 Nd 2.98
4 Li 0.0000 0.0000 0.0000  4 Sn 2.98, 4 Nd 2.98

Properties
As for the symmetry: F-43m. The mass density comes out at 9.5 g/cm3. The value obtained for the final energy is -20.2 eV per cell.

Record 8
A plane-wave DFT calculation with PBE-GGA was carried out for a relaxed CrTcH2 crystal.

Unit cell a=4.0261 b=4.0261 c=4.9470 alpha=65.99 beta=65.99 gamma=90.00
With the nearest neighbours (Å) after each atom.
Sites, in units of the cell vectors:
1 Tc 0.7500 0.2500 0.5000  4 H 1.80
2 H 0.1467 0.6250 0.2500  2 Cr 1.70, 2 Tc 1.80
3 Tc 0.0000 0.0000 0.0000  4 H 1.80
4 Cr 0.5000 0.5000 0.0000  4 H 1.70
5 Cr 0.2500 0.7500 0.5000  4 H 1.70
6 H 0.3750 0.3967 0.7500  2 Cr 1.70, 2 Tc 1.80
7 H 0.8750 0.8533 0.7500  2 Cr 1.70, 2 Tc 1.80
8 H 0.6033 0.1250 0.2500  2 Cr 1.70, 2 Tc 1.80

Properties
As for the symmetry: I-42d. Its energy above the lowest structure with this stoichiometry is 222 meV per atom. The mass density comes out at 7.7 g/cm3. The value obtained for the final energy is -52.2 eV per cell.

Record 9
A plane-wave DFT calculation with PBE-GGA was carried out for a relaxed AsRuPt4 crystal.

Unit cell a=5.2640 b=5.2640 c=5.2640 alpha=60.00 beta=60.00 gamma=60.00
With the nearest neighbours (Å) after each atom.
Sites, in units of the cell vectors:
1 Pt 0.6246 0.6246 0.6246  6 Pt 2.62-2.64
2 As 0.0000 0.0000 0.0000  12 Pt 3.09, 4 Ru 3.22
3 Pt 0.6246 0.1261 0.6246  6 Pt 2.62-2.64
4 Pt 0.1261 0.6246 0.6246  6 Pt 2.62-2.64
5 Ru 0.2500 0.2500 0.2500  12 Pt 3.09, 4 As 3.22
6 Pt 0.6246 0.6246 0.1261  6 Pt 2.62-2.64

Properties
As for the symmetry: F-43m. The mass density comes out at 15.4 g/cm3. The value obtained for the final energy is -35.4 eV per cell.

Record 10
A plane-wave DFT calculation with PBE-GGA was carried out for a relaxed TbCdPd4 crystal.

Unit cell a=4.2012 b=8.0511 c=6.6413 alpha=90.00 beta=108.51 gamma=90.00
With the nearest neighbours (Å) after each atom.
Sites, in units of the cell vectors:
1 Cd 0.1557 0.2500 0.3113  10 Pd 2.81-3.04
2 Pd 0.4984 0.7500 0.9969  2 Cd 2.86, 8 Pd 2.86-2.92, 2 Tb 2.88
3 Pd 0.3352 0.9970 0.6702  6 Pd 2.86-3.00, 3 Cd 2.89-3.04, 3 Tb 2.93-3.02
4 Pd 0.6648 0.0030 0.3298  6 Pd 2.86-3.00, 3 Cd 2.89-3.04, 3 Tb 2.93-3.02
5 Pd 0.0000 0.5000 0.0000  2 Tb 2.80, 2 Cd 2.81, 8 Pd 2.91-2.96
6 Tb 0.8450 0.2500 0.6898  10 Pd 2.80-3.02
7 Pd 0.5016 0.2500 0.0031  2 Cd 2.86, 8 Pd 2.86-2.92, 2 Tb 2.88
8 Pd 0.0000 0.0000 0.0000  2 Tb 2.80, 2 Cd 2.81, 8 Pd 2.91-2.96
9 Pd 0.3352 0.5030 0.6702  6 Pd 2.86-3.00, 3 Cd 2.89-3.04, 3 Tb 2.93-3.02
10 Tb 0.1550 0.7500 0.3102  10 Pd 2.80-3.02
11 Cd 0.8443 0.7500 0.6887  10 Pd 2.81-3.04
12 Pd 0.6648 0.4970 0.3298  6 Pd 2.86-3.00, 3 Cd 2.89-3.04, 3 Tb 2.93-3.02

Properties
As for the symmetry: P2_1/m. The mass density comes out at 10.9 g/cm3. The value obtained for the final energy is -60.4 eV per cell.

Question: What is the final energy in the second record?
Answer: -59.2 eV per cell